[1]
VASP calculation (PBE with a Hubbard U) on a geometry-optimized Ac2CoOsO6 structure.

abc: 9.869 9.869 9.869
angles: 33.89 33.89 33.89
Fractional positions:
Ac: 0.130 0.130 0.130
Ac: 0.281 0.281 0.281
Ac: 0.719 0.719 0.719
Ac: 0.870 0.870 0.870
Co: 0.410 0.410 0.410
Co: 0.590 0.590 0.590
Os: 0.000 0.000 0.000
Os: 0.500 0.500 0.500
O: 0.113 0.633 0.633
O: 0.202 0.202 0.721
O: 0.202 0.721 0.202
O: 0.279 0.798 0.798
O: 0.367 0.367 0.887
O: 0.367 0.887 0.367
O: 0.633 0.113 0.633
O: 0.633 0.633 0.113
O: 0.721 0.202 0.202
O: 0.798 0.279 0.798
O: 0.798 0.798 0.279
O: 0.887 0.367 0.367

Values from the calculation:
final energy	-75.5	eV/f.u.

***

[2]
VASP calculation (PBE with a Hubbard U) on a geometry-optimized AcCo2OsO6 structure.

abc: 5.709 5.709 5.709
angles: 56.29 56.29 56.29
Fractional positions:
Ac: 0.000 0.000 0.000
Co: 0.257 0.257 0.257
Co: 0.780 0.780 0.780
Os: 0.460 0.460 0.460
O: 0.047 0.600 0.474
O: 0.165 0.533 0.871
O: 0.474 0.047 0.600
O: 0.533 0.871 0.165
O: 0.600 0.474 0.047
O: 0.871 0.165 0.533

Values from the calculation:
final energy	-69.5	eV/f.u.

***

[3]
VASP calculation (PBE with a Hubbard U) on a geometry-optimized Ac2CoPO8 structure.

abc: 6.668 6.668 4.705
angles: 90.00 90.00 120.00
Fractional positions:
Ac: 0.333 0.667 0.239
Ac: 0.667 0.333 0.761
Co: 0.000 0.000 0.500
P: 0.000 0.000 0.000
O: 0.117 0.233 0.224
O: 0.117 0.883 0.224
O: 0.233 0.117 0.776
O: 0.333 0.667 0.738
O: 0.667 0.333 0.262
O: 0.767 0.883 0.224
O: 0.883 0.117 0.776
O: 0.883 0.767 0.776

Values from the calculation:
final energy	-81.9	eV/f.u.

***

[4]
VASP calculation (PBE with a Hubbard U) on a geometry-optimized AcCo2PO8 structure.

abc: 5.014 5.014 6.411
angles: 90.00 90.00 120.00
Fractional positions:
Ac: 0.000 0.000 0.000
Co: 0.333 0.667 0.413
Co: 0.667 0.333 0.587
P: 0.000 0.000 0.500
O: 0.161 0.322 0.648
O: 0.161 0.839 0.648
O: 0.322 0.161 0.352
O: 0.333 0.667 0.134
O: 0.667 0.333 0.866
O: 0.678 0.839 0.648
O: 0.839 0.161 0.352
O: 0.839 0.678 0.352

Values from the calculation:
final energy	-74.9	eV/f.u.

***

[5]
VASP calculation (PBE with a Hubbard U) on a geometry-optimized AcPaCoO6 structure.

abc: 5.474 5.474 4.890
angles: 90.00 90.00 120.00
Fractional positions:
Ac: 0.000 0.000 0.000
Pa: 0.667 0.333 0.500
Co: 0.333 0.667 0.000
O: 0.022 0.405 0.238
O: 0.022 0.618 0.762
O: 0.382 0.405 0.762
O: 0.382 0.978 0.238
O: 0.595 0.618 0.238
O: 0.595 0.978 0.762

Values from the calculation:
final energy	-69.4	eV/f.u.

***

[6]
VASP calculation (PBE with a Hubbard U) on a geometry-optimized AcPaCo2O6 structure.

abc: 6.724 6.724 6.724
angles: 48.52 48.52 48.52
Fractional positions:
Ac: 0.000 0.000 0.000
Pa: 0.500 0.500 0.500
Co: 0.184 0.184 0.184
Co: 0.816 0.816 0.816
O: 0.103 0.782 0.421
O: 0.218 0.579 0.897
O: 0.421 0.103 0.782
O: 0.579 0.897 0.218
O: 0.782 0.421 0.103
O: 0.897 0.218 0.579

Values from the calculation:
final energy	-78.7	eV/f.u.

***

[7]
VASP calculation (PBE with a Hubbard U) on a geometry-optimized Ac2PaCoO6 structure.

abc: 4.219 4.219 8.891
angles: 90.00 90.00 90.00
Fractional positions:
Ac: 0.000 0.000 0.187
Ac: 0.000 0.000 0.813
Pa: 0.500 0.500 0.500
Co: 0.500 0.500 0.000
O: 0.000 0.500 0.000
O: 0.000 0.500 0.500
O: 0.500 0.000 0.000
O: 0.500 0.000 0.500
O: 0.500 0.500 0.254
O: 0.500 0.500 0.746

Values from the calculation:
final energy	-80.2	eV/f.u.

***

[8]
VASP calculation (PBE with a Hubbard U) on a geometry-optimized AcCoPb2O4 structure.

abc: 7.698 7.698 10.949
angles: 90.00 90.00 152.13
Fractional positions:
Ac: 0.089 0.911 0.750
Ac: 0.911 0.089 0.250
Co: 0.237 0.763 0.250
Co: 0.763 0.237 0.750
Pb: 0.391 0.609 0.576
Pb: 0.391 0.609 0.924
Pb: 0.609 0.391 0.076
Pb: 0.609 0.391 0.424
O: 0.000 0.000 0.000
O: 0.000 0.000 0.500
O: 0.320 0.680 0.126
O: 0.320 0.680 0.374
O: 0.487 0.513 0.750
O: 0.513 0.487 0.250
O: 0.680 0.320 0.626
O: 0.680 0.320 0.874

Values from the calculation:
final energy	-47.7	eV/f.u.

***

[9]
VASP calculation (PBE with a Hubbard U) on a geometry-optimized Ac3Co2PdO9 structure.

abc: 5.690 5.690 6.893
angles: 90.00 90.00 120.00
Fractional positions:
Ac: 0.000 0.000 0.000
Ac: 0.333 0.667 0.674
Ac: 0.667 0.333 0.326
Co: 0.333 0.667 0.163
Co: 0.667 0.333 0.837
Pd: 0.000 0.000 0.500
O: 0.000 0.500 0.000
O: 0.168 0.336 0.327
O: 0.168 0.832 0.327
O: 0.336 0.168 0.673
O: 0.500 0.000 0.000
O: 0.500 0.500 0.000
O: 0.664 0.832 0.327
O: 0.832 0.168 0.673
O: 0.832 0.664 0.673

Values from the calculation:
final energy	-103.3	eV/f.u.

***

[10]
VASP calculation (PBE with a Hubbard U) on a geometry-optimized Ac4Co3PdO12 structure.

abc: 6.893 6.893 6.893
angles: 109.47 109.47 109.47
Fractional positions:
Ac: 0.000 0.000 0.500
Ac: 0.000 0.500 0.000
Ac: 0.500 0.000 0.000
Ac: 0.500 0.500 0.500
Co: 0.000 0.500 0.500
Co: 0.500 0.000 0.500
Co: 0.500 0.500 0.000
Pd: 0.000 0.000 0.000
O: 0.000 0.252 0.252
O: 0.000 0.748 0.748
O: 0.250 0.500 0.750
O: 0.250 0.750 0.500
O: 0.252 0.000 0.252
O: 0.252 0.252 0.000
O: 0.500 0.250 0.750
O: 0.500 0.750 0.250
O: 0.748 0.000 0.748
O: 0.748 0.748 0.000
O: 0.750 0.250 0.500
O: 0.750 0.500 0.250

Values from the calculation:
final energy	-138.6	eV/f.u.

***

[11]
VASP calculation (PBE with a Hubbard U) on a geometry-optimized Ac2CoPdO5 structure.

abc: 7.534 7.534 9.893
angles: 90.00 90.00 152.33
Fractional positions:
Ac: 0.122 0.878 0.500
Ac: 0.131 0.869 0.096
Ac: 0.869 0.131 0.596
Ac: 0.878 0.122 0.000
Co: 0.476 0.524 0.280
Co: 0.524 0.476 0.780
Pd: 0.209 0.791 0.802
Pd: 0.791 0.209 0.302
O: 0.054 0.946 0.841
O: 0.292 0.708 0.453
O: 0.301 0.699 0.154
O: 0.375 0.625 0.806
O: 0.498 0.502 0.082
O: 0.502 0.498 0.582
O: 0.625 0.375 0.306
O: 0.699 0.301 0.654
O: 0.708 0.292 0.953
O: 0.946 0.054 0.341

Values from the calculation:
final energy	-61.6	eV/f.u.

***

[12]
VASP calculation (PBE with a Hubbard U) on a geometry-optimized Ac2CoPd2O6 structure.

abc: 6.175 6.175 6.175
angles: 58.72 58.72 58.72
Fractional positions:
Ac: 0.217 0.217 0.217
Ac: 0.783 0.783 0.783
Co: 0.000 0.000 0.000
Pd: 0.407 0.407 0.407
Pd: 0.593 0.593 0.593
O: 0.193 0.777 0.777
O: 0.223 0.223 0.807
O: 0.223 0.807 0.223
O: 0.777 0.193 0.777
O: 0.777 0.777 0.193
O: 0.807 0.223 0.223

Values from the calculation:
final energy	-69.4	eV/f.u.